(1)
This record from Alexandria via LeMat-Bulk describes a relaxed PmYTm4 crystal. The functional is PBE-GGA.

```
data_PmYTm4
_chemical_formula_sum 'Pm4 Y4 Tm16'
_space_group_name_H-M_alt 'C 1 2/c 1'
_space_group_IT_number 15
_space_group_name_Hall '-C 2yc'
_cell_length_a 8.7024
_cell_length_b 14.4948
_cell_length_c 6.4620
_cell_angle_alpha 90.00
_cell_angle_beta 109.79
_cell_angle_gamma 90.00
loop_
_atom_site_label
_atom_site_fract_x
_atom_site_fract_y
_atom_site_fract_z
Pm1 0.0000 0.0035 0.2500
Y1 0.0000 0.4132 0.7500
Tm1 0.0933 0.1952 0.0302
Tm2 0.2018 0.3671 0.3769
```

(2)
This record from Alexandria via LeMat-Bulk describes a relaxed Pm8Y3Tm crystal. The functional is PBE-GGA.

```
data_Pm8Y3Tm
_chemical_formula_sum 'Pm16 Y6 Tm2'
_space_group_name_H-M_alt 'I -4 2 m'
_space_group_IT_number 121
_space_group_name_Hall 'I -4 2'
_cell_length_a 8.7768
_cell_length_b 8.7768
_cell_length_c 11.5458
_cell_angle_alpha 90.00
_cell_angle_beta 90.00
_cell_angle_gamma 90.00
loop_
_atom_site_label
_atom_site_fract_x
_atom_site_fract_y
_atom_site_fract_z
Pm1 0.1249 0.1249 0.2465
Pm2 0.2459 0.2459 0.9913
Y1 0.0000 0.0000 0.5000
Y2 0.0000 0.5000 0.2500
Tm1 0.0000 0.0000 0.0000
```

(3)
This record from Alexandria via LeMat-Bulk describes a relaxed PmY4Tm6 crystal. The functional is PBE-GGA.

```
data_PmY4Tm6
_chemical_formula_sum 'Pm2 Y8 Tm12'
_space_group_name_H-M_alt 'I -4 2 m'
_space_group_IT_number 121
_space_group_name_Hall 'I -4 2'
_cell_length_a 7.6209
_cell_length_b 7.6209
_cell_length_c 13.0208
_cell_angle_alpha 90.00
_cell_angle_beta 90.00
_cell_angle_gamma 90.00
loop_
_atom_site_label
_atom_site_fract_x
_atom_site_fract_y
_atom_site_fract_z
Pm1 0.0000 0.0000 0.0000
Y1 0.1692 0.1692 0.4222
Tm1 0.0000 0.5000 0.0000
Tm2 0.2444 0.2444 0.1814
```

(4)
This record from Alexandria via LeMat-Bulk describes a relaxed Pm3Y5Tm4 crystal. The functional is PBE-GGA.

```
data_Pm3Y5Tm4
_chemical_formula_sum 'Pm6 Y10 Tm8'
_space_group_name_H-M_alt 'C 1 2/m 1'
_space_group_IT_number 12
_space_group_name_Hall '-C 2y'
_cell_length_a 17.7163
_cell_length_b 5.6816
_cell_length_c 8.7134
_cell_angle_alpha 90.00
_cell_angle_beta 116.48
_cell_angle_gamma 90.00
loop_
_atom_site_label
_atom_site_fract_x
_atom_site_fract_y
_atom_site_fract_z
Pm1 0.0000 0.0000 0.0000
Pm2 0.1842 0.5000 0.2270
Y1 0.0000 0.5000 0.0000
Y2 0.0960 0.0000 0.4368
Y3 0.1622 0.0000 0.8948
Tm1 0.0379 0.5000 0.6967
Tm2 0.2093 0.5000 0.6438
```

(5)
This record from Alexandria via LeMat-Bulk describes a relaxed Pm2Y7Tm2 crystal. The functional is PBE-GGA.

```
data_Pm2Y7Tm2
_chemical_formula_sum 'Pm4 Y14 Tm4'
_space_group_name_H-M_alt 'C 1 2/m 1'
_space_group_IT_number 12
_space_group_name_Hall '-C 2y'
_cell_length_a 8.9756
_cell_length_b 9.5047
_cell_length_c 8.6938
_cell_angle_alpha 90.00
_cell_angle_beta 102.31
_cell_angle_gamma 90.00
loop_
_atom_site_label
_atom_site_fract_x
_atom_site_fract_y
_atom_site_fract_z
Pm1 0.0000 0.1780 0.0000
Y1 0.0000 0.5000 0.5000
Y2 0.1514 0.5000 0.9068
Y3 0.2350 0.1826 0.7041
Tm1 0.1048 0.0000 0.3539
```

(6)
This record from Alexandria via LeMat-Bulk describes a relaxed PmY6Tm8 crystal. The functional is PBE-GGA.

```
data_PmY6Tm8
_chemical_formula_sum 'Pm3 Y18 Tm24'
_space_group_name_H-M_alt 'R -3'
_space_group_IT_number 148
_space_group_name_Hall '-R 3'
_cell_length_a 8.9937
_cell_length_b 8.9937
_cell_length_c 20.4353
_cell_angle_alpha 90.00
_cell_angle_beta 90.00
_cell_angle_gamma 120.00
loop_
_atom_site_label
_atom_site_fract_x
_atom_site_fract_y
_atom_site_fract_z
Pm1 0.0000 0.0000 0.0000
Y1 0.0658 0.2471 0.7081
Tm1 0.0000 0.0000 0.4241
Tm2 0.0808 0.5522 0.8088
```

(7)
This record from Alexandria via LeMat-Bulk describes a relaxed PmY2Tm6 crystal. The functional is PBE-GGA.

```
data_PmY2Tm6
_chemical_formula_sum 'Pm2 Y4 Tm12'
_space_group_name_H-M_alt 'P 42/m n m'
_space_group_IT_number 136
_space_group_name_Hall '-P 4n 2n'
_cell_length_a 10.5693
_cell_length_b 10.5693
_cell_length_c 4.9931
_cell_angle_alpha 90.00
_cell_angle_beta 90.00
_cell_angle_gamma 90.00
loop_
_atom_site_label
_atom_site_fract_x
_atom_site_fract_y
_atom_site_fract_z
Pm1 0.0000 0.0000 0.0000
Y1 0.1676 0.1676 0.5000
Tm1 0.0005 0.3350 0.0000
Tm2 0.1675 0.8325 0.5000
```

(8)
This record from Alexandria via LeMat-Bulk describes a relaxed PmY2Tm crystal. The functional is PBE-GGA.

```
data_PmY2Tm
_chemical_formula_sum 'Pm3 Y6 Tm3'
_space_group_name_H-M_alt 'R -3 m'
_space_group_IT_number 166
_space_group_name_Hall '-R 3 2"'
_cell_length_a 3.5746
_cell_length_b 3.5746
_cell_length_c 34.8693
_cell_angle_alpha 90.00
_cell_angle_beta 90.00
_cell_angle_gamma 120.00
loop_
_atom_site_label
_atom_site_fract_x
_atom_site_fract_y
_atom_site_fract_z
Pm1 0.0000 0.0000 0.0000
Y1 0.0000 0.0000 0.2486
Tm1 0.0000 0.0000 0.5000
```

(9)
This record from Alexandria via LeMat-Bulk describes a relaxed PmY6Tm5 crystal. The functional is PBE-GGA.

```
data_PmY6Tm5
_chemical_formula_sum 'Pm2 Y12 Tm10'
_space_group_name_H-M_alt 'C 1 2/m 1'
_space_group_IT_number 12
_space_group_name_Hall '-C 2y'
_cell_length_a 6.1380
_cell_length_b 10.6177
_cell_length_c 11.7533
_cell_angle_alpha 90.00
_cell_angle_beta 99.98
_cell_angle_gamma 90.00
loop_
_atom_site_label
_atom_site_fract_x
_atom_site_fract_y
_atom_site_fract_z
Pm1 0.0000 0.0000 0.0000
Y1 0.2491 0.3330 0.7484
Y2 0.2501 0.0000 0.7486
Tm1 0.0000 0.1669 0.5000
Tm2 0.0000 0.3333 0.0000
Tm3 0.0000 0.5000 0.5000
```

(10)
This record from Alexandria via LeMat-Bulk describes a relaxed Pm5YTm crystal. The functional is PBE-GGA.

```
data_Pm5YTm
_chemical_formula_sum 'Pm20 Y4 Tm4'
_space_group_name_H-M_alt 'C 1 2/c 1'
_space_group_IT_number 15
_space_group_name_Hall '-C 2yc'
_cell_length_a 10.8284
_cell_length_b 6.6462
_cell_length_c 13.3171
_cell_angle_alpha 90.00
_cell_angle_beta 94.42
_cell_angle_gamma 90.00
loop_
_atom_site_label
_atom_site_fract_x
_atom_site_fract_y
_atom_site_fract_z
Pm1 0.0000 0.2394 0.2500
Pm2 0.1674 0.4978 0.5785
Pm3 0.2462 0.4972 0.8418
Y1 0.0000 0.2346 0.7500
Tm1 0.0000 0.0000 0.0000
```

(11)
This record from Alexandria via LeMat-Bulk describes a relaxed Pm6Y4Tm crystal. The functional is PBE-GGA.

```
data_Pm6Y4Tm
_chemical_formula_sum 'Pm24 Y16 Tm4'
_space_group_name_H-M_alt 'C m c m'
_space_group_IT_number 63
_space_group_name_Hall '-C 2c 2'
_cell_length_a 5.8427
_cell_length_b 9.7284
_cell_length_c 25.8648
_cell_angle_alpha 90.00
_cell_angle_beta 90.00
_cell_angle_gamma 90.00
loop_
_atom_site_label
_atom_site_fract_x
_atom_site_fract_y
_atom_site_fract_z
Pm1 0.0000 0.0000 0.0000
Pm2 0.0000 0.0457 0.2500
Pm3 0.0000 0.3028 0.6031
Pm4 0.0000 0.3726 0.1832
Y1 0.0000 0.0381 0.1239
Y2 0.0000 0.3485 0.0443
Tm1 0.0000 0.2917 0.7500
```

(12)
This record from Alexandria via LeMat-Bulk describes a relaxed Pm2YTm12 crystal. The functional is PBE-GGA.

```
data_Pm2YTm12
_chemical_formula_sum 'Pm8 Y4 Tm48'
_space_group_name_H-M_alt 'C 1 2/m 1'
_space_group_IT_number 12
_space_group_name_Hall '-C 2y'
_cell_length_a 7.1037
_cell_length_b 11.0906
_cell_length_c 23.8593
_cell_angle_alpha 90.00
_cell_angle_beta 94.28
_cell_angle_gamma 90.00
loop_
_atom_site_label
_atom_site_fract_x
_atom_site_fract_y
_atom_site_fract_z
Pm1 0.0694 0.0000 0.2807
Pm2 0.0695 0.5000 0.2805
Y1 0.2500 0.0000 0.0000
Tm1 0.0170 0.2499 0.0665
Tm2 0.0339 0.0000 0.1350
Tm3 0.0339 0.5000 0.1348
Tm4 0.1110 0.2495 0.4452
Tm5 0.1430 0.5000 0.5718
Tm6 0.1438 0.0000 0.5715
Tm7 0.1678 0.2501 0.6696
Tm8 0.2021 0.2500 0.8085
```

no.,energy of formation (eV per atom),mass density (g cm⁻³)
1,0.15,7.9
2,0.60,6.0
3,0.49,6.6
4,0.27,6.6
5,0.11,5.7
6,0.13,7.1
7,0.03,8.0
8,0.02,6.3
9,0.03,6.7
10,0.16,6.8
11,0.12,6.3
12,0.11,8.5